Density functional theory data (PBE) for a relaxed TiV2Zn crystal.

Symmetry: P4/mmm (123)
Energy of formation from the pure elements: 0.02 eV/atom
Calculated density: 6.20 g/cm3
Total magnetic moment: 0.000 μB per atom

a b c (Å): 4.0910 3.7520 3.7520
angles (deg): 90.00 90.00 90.00
With the nearest neighbours (Å) after each atom.
Fractional coordinates of all 4 atoms:
Zn  0.5000  0.5000  0.5000  4 Ti 2.65, 8 V 2.78
Ti  0.5000  0.0000  0.0000  4 Zn 2.65, 8 V 2.78
V  0.0000  0.0000  0.5000  4 V 2.65, 4 Zn 2.78, 4 Ti 2.78
V  0.0000  0.5000  0.0000  4 V 2.65, 4 Zn 2.78, 4 Ti 2.78